# 1
## YHgMo (GGA-PBE)

Data for a geometry-optimized YHgMo structure.

The structure belongs to space group C2 (No. 5); the cell edges are 5.4911, 10.7248 and 4.6747 Å and the angles 90.00°, 91.54° and 90.00°. The inequivalent atoms are Y at (0.2340, 0.0000, 0.2504), Hg at (0.1587, 0.3041, 0.2555) and Mo at (0.1226, 0.6878, 0.2323).

# 2
## YHg2Mo (GGA-PBE)

Data for a geometry-optimized YHg2Mo structure.

The structure belongs to space group I-42d (No. 122); the cell edges are 4.2870, 4.2870 and 20.8782 Å and the angles 90.00°, 90.00° and 90.00°. The inequivalent atoms are Y at (0.0000, 0.0000, 0.0000), Hg at (0.2216, 0.2500, 0.6250) and Mo at (0.0000, 0.0000, 0.5000).

In the order shown, the computed density of states at the Fermi level values come out to 1.00, 0.63 states/eV/atom.
In the order shown, the computed energy relative to the lowest polymorph listed for this composition values come out to 13.4, 35.9 kJ/mol of atoms.